The following is a DFT calculation (PBE) of a relaxed structure of VSn2WN.

## Properties
The total energy is -0.2150 hartree per atom.

Unit cell a=5.1232 b=4.4744 c=5.1232 alpha=90.00 beta=90.00 gamma=90.00
Each line ends with the local moment (μB).
Fractional positions:
N (0.5000, 0.5000, 0.5000)  1.37
Sn (0.0000, 0.0000, 0.5000)  0.00
Sn (0.5000, 0.0000, 0.0000)  0.01
W (0.0000, 0.5000, 0.0000)  -1.11
V (0.0000, 0.0000, 0.0000)  0.64